(1)
First-principles (PBEsol) data for TeOs2W after structural relaxation, as listed in the Alexandria database.

Total magnetic moment ... 1.07 μB per formula unit
Uncorrected formation energy ... 0.99 eV/atom
DOS at the Fermi energy ... 21.6 states/eV/cell

CIF file:
```
data_TeOs2W
_chemical_formula_sum 'Te4 Os8 W4'
_space_group_name_H-M_alt 'F m -3 m'
_space_group_IT_number 225
_space_group_name_Hall '-F 4 2 3'
_cell_length_a 6.395
_cell_length_b 6.395
_cell_length_c 6.395
_cell_angle_alpha 90.00
_cell_angle_beta 90.00
_cell_angle_gamma 90.00
loop_
_atom_site_label
_atom_site_fract_x
_atom_site_fract_y
_atom_site_fract_z
Te1 0.000 0.000 0.000
Os1 0.250 0.250 0.250
W1 0.000 0.000 0.500
```



(2)
First-principles (PBEsol) data for SiOsPb2 after structural relaxation, as listed in the Alexandria database.

Total magnetic moment ... 0.00 μB per formula unit
Uncorrected formation energy ... 0.97 eV/atom
DOS at the Fermi energy ... 3.0 states/eV/cell

CIF file:
```
data_SiOsPb2
_chemical_formula_sum 'Si1 Os1 Pb2'
_space_group_name_H-M_alt 'P 1 2/m 1'
_space_group_IT_number 10
_cell_length_a 4.638
_cell_length_b 3.346
_cell_length_c 5.656
_cell_angle_alpha 90.00
_cell_angle_beta 109.97
_cell_angle_gamma 90.00
loop_
_space_group_symop_operation_xyz
'x,y,z'
'-x,-y,-z'
'-x,y,-z'
'x,-y,z'
loop_
_atom_site_label
_atom_site_fract_x
_atom_site_fract_y
_atom_site_fract_z
Si1 0.000 0.000 0.000
Os1 0.500 0.500 0.500
Pb1 0.000 0.000 0.500
Pb2 0.500 0.500 0.000
```



(3)
First-principles (PBEsol) data for BeGe2SbCl after structural relaxation, as listed in the Alexandria database.

Total magnetic moment ... 0.00 μB per formula unit
Uncorrected formation energy ... 0.39 eV/atom
DOS at the Fermi energy ... 3.6 states/eV/cell

CIF file:
```
data_BeGe2SbCl
_chemical_formula_sum 'Be1 Ge2 Sb1 Cl1'
_space_group_name_H-M_alt 'P 4/m m m'
_space_group_IT_number 123
_space_group_name_Hall '-P 4 2'
_cell_length_a 4.406
_cell_length_b 4.406
_cell_length_c 5.239
_cell_angle_alpha 90.00
_cell_angle_beta 90.00
_cell_angle_gamma 90.00
loop_
_atom_site_label
_atom_site_fract_x
_atom_site_fract_y
_atom_site_fract_z
Be1 0.000 0.000 0.000
Ge1 0.000 0.500 0.000
Sb1 0.000 0.000 0.500
Cl1 0.500 0.500 0.500
```



(4)
First-principles (PBEsol) data for BaSc2Rh after structural relaxation, as listed in the Alexandria database.

Total magnetic moment ... 0.00 μB per formula unit
Raw total energy ... -5.618 eV per atom
DOS at the Fermi energy ... 8.4 states/eV/cell

CIF file:
```
data_BaSc2Rh
_chemical_formula_sum 'Ba2 Sc4 Rh2'
_space_group_name_H-M_alt 'C m m m'
_space_group_IT_number 65
_space_group_name_Hall '-C 2 2'
_cell_length_a 6.631
_cell_length_b 7.129
_cell_length_c 3.740
_cell_angle_alpha 90.00
_cell_angle_beta 90.00
_cell_angle_gamma 90.00
loop_
_atom_site_label
_atom_site_fract_x
_atom_site_fract_y
_atom_site_fract_z
Ba1 0.000 0.000 0.000
Sc1 0.250 0.250 0.500
Rh1 0.000 0.500 0.000
```



(5)
First-principles (PBEsol) data for TaIrAu after structural relaxation, as listed in the Alexandria database.

Total magnetic moment ... 0.00 μB per formula unit
Relative energy among the computed polymorphs ... 0.147 eV/atom
DOS at the Fermi energy ... 3.9 states/eV/cell

CIF file:
```
data_TaIrAu
_chemical_formula_sum 'Ta2 Ir2 Au2'
_space_group_name_H-M_alt 'I 4 m m'
_space_group_IT_number 107
_space_group_name_Hall 'I 4 -2'
_cell_length_a 2.899
_cell_length_b 2.899
_cell_length_c 11.507
_cell_angle_alpha 90.00
_cell_angle_beta 90.00
_cell_angle_gamma 90.00
loop_
_atom_site_label
_atom_site_fract_x
_atom_site_fract_y
_atom_site_fract_z
Ta1 0.000 0.000 0.000
Ir1 0.000 0.000 0.649
Au1 0.000 0.000 0.325
```



(6)
First-principles (PBEsol) data for Zr2TaPd after structural relaxation, as listed in the Alexandria database.

Total magnetic moment ... 0.00 μB per formula unit
Raw total energy ... -9.365 eV per atom
DOS at the Fermi energy ... 17.2 states/eV/cell

CIF file:
```
data_Zr2TaPd
_chemical_formula_sum 'Zr8 Ta4 Pd4'
_space_group_name_H-M_alt 'F m -3 m'
_space_group_IT_number 225
_space_group_name_Hall '-F 4 2 3'
_cell_length_a 6.650
_cell_length_b 6.650
_cell_length_c 6.650
_cell_angle_alpha 90.00
_cell_angle_beta 90.00
_cell_angle_gamma 90.00
loop_
_atom_site_label
_atom_site_fract_x
_atom_site_fract_y
_atom_site_fract_z
Zr1 0.250 0.250 0.250
Ta1 0.000 0.000 0.000
Pd1 0.000 0.000 0.500
```



(7)
First-principles (PBEsol) data for GeHSeBr2 after structural relaxation, as listed in the Alexandria database.

Total magnetic moment ... 0.00 μB per formula unit
Raw total energy ... -2.830 eV per atom
DOS at the Fermi energy ... 4.4 states/eV/cell

CIF file:
```
data_GeHSeBr2
_chemical_formula_sum 'Ge1 H1 Se1 Br2'
_space_group_name_H-M_alt 'P 4/m m m'
_space_group_IT_number 123
_space_group_name_Hall '-P 4 2'
_cell_length_a 5.237
_cell_length_b 5.237
_cell_length_c 3.502
_cell_angle_alpha 90.00
_cell_angle_beta 90.00
_cell_angle_gamma 90.00
loop_
_atom_site_label
_atom_site_fract_x
_atom_site_fract_y
_atom_site_fract_z
Ge1 0.000 0.000 0.000
H1 0.500 0.500 0.500
Se1 0.500 0.500 0.000
Br1 0.000 0.500 0.500
```



(8)
First-principles (PBEsol) data for SiRuPb after structural relaxation, as listed in the Alexandria database.

Total magnetic moment ... 0.00 μB per formula unit
Uncorrected formation energy ... 0.66 eV/atom
DOS at the Fermi energy ... 14.1 states/eV/cell

CIF file:
```
data_SiRuPb
_chemical_formula_sum 'Si4 Ru4 Pb4'
_space_group_name_H-M_alt 'F -4 3 m'
_space_group_IT_number 216
_space_group_name_Hall 'F -4 2 3'
_cell_length_a 6.091
_cell_length_b 6.091
_cell_length_c 6.091
_cell_angle_alpha 90.00
_cell_angle_beta 90.00
_cell_angle_gamma 90.00
loop_
_atom_site_label
_atom_site_fract_x
_atom_site_fract_y
_atom_site_fract_z
Si1 0.000 0.000 0.000
Ru1 0.250 0.250 0.250
Pb1 0.250 0.250 0.750
```



(9)
First-principles (PBEsol) data for MnIn2Ru after structural relaxation, as listed in the Alexandria database.

Total magnetic moment ... 3.77 μB per formula unit
Raw total energy ... -6.279 eV per atom
DOS at the Fermi energy ... 5.6 states/eV/cell

CIF file:
```
data_MnIn2Ru
_chemical_formula_sum 'Mn2 In4 Ru2'
_space_group_name_H-M_alt 'I m m 2'
_space_group_IT_number 44
_cell_length_a 3.228
_cell_length_b 4.465
_cell_length_c 9.325
_cell_angle_alpha 90.00
_cell_angle_beta 90.00
_cell_angle_gamma 90.00
loop_
_space_group_symop_operation_xyz
'x,y,z'
'-x,-y,z'
'-x,y,z'
'x,-y,z'
'x+1/2,y+1/2,z+1/2'
'-x+1/2,-y+1/2,z+1/2'
'-x+1/2,y+1/2,z+1/2'
'x+1/2,-y+1/2,z+1/2'
loop_
_atom_site_label
_atom_site_fract_x
_atom_site_fract_y
_atom_site_fract_z
Mn1 0.000 0.000 0.000
In1 0.000 0.000 0.466
In2 0.000 0.500 0.243
Ru1 0.000 0.500 0.715
```



(10)
First-principles (PBEsol) data for Li2LaY after structural relaxation, as listed in the Alexandria database.

Total magnetic moment ... 0.00 μB per formula unit
Raw total energy ... -3.953 eV per atom
DOS at the Fermi energy ... 4.4 states/eV/cell

CIF file:
```
data_Li2LaY
_chemical_formula_sum 'Li2 La1 Y1'
_space_group_name_H-M_alt 'P 4 m m'
_space_group_IT_number 99
_cell_length_a 3.634
_cell_length_b 3.634
_cell_length_c 7.990
_cell_angle_alpha 90.00
_cell_angle_beta 90.00
_cell_angle_gamma 90.00
loop_
_space_group_symop_operation_xyz
'x,y,z'
'-y,x,z'
'-x,-y,z'
'y,-x,z'
'-x,y,z'
'y,x,z'
'x,-y,z'
'-y,-x,z'
loop_
_atom_site_label
_atom_site_fract_x
_atom_site_fract_y
_atom_site_fract_z
Li1 0.000 0.000 0.000
Li2 0.500 0.500 0.169
La1 0.000 0.000 0.446
Y1 0.500 0.500 0.743
```



(11)
First-principles (PBEsol) data for Be2PbSF after structural relaxation, as listed in the Alexandria database.

Total magnetic moment ... 1.05 μB per formula unit
Uncorrected formation energy ... 0.86 eV/atom
DOS at the Fermi energy ... 3.3 states/eV/cell

CIF file:
```
data_Be2PbSF
_chemical_formula_sum 'Be2 Pb1 S1 F1'
_space_group_name_H-M_alt 'P 4/m m m'
_space_group_IT_number 123
_space_group_name_Hall '-P 4 2'
_cell_length_a 4.669
_cell_length_b 4.669
_cell_length_c 5.238
_cell_angle_alpha 90.00
_cell_angle_beta 90.00
_cell_angle_gamma 90.00
loop_
_atom_site_label
_atom_site_fract_x
_atom_site_fract_y
_atom_site_fract_z
Be1 0.000 0.500 0.000
Pb1 0.000 0.000 0.000
S1 0.000 0.000 0.500
F1 0.500 0.500 0.500
```



(12)
First-principles (PBEsol) data for CaSiTc after structural relaxation, as listed in the Alexandria database.

Total magnetic moment ... 0.00 μB per formula unit
Uncorrected formation energy ... -0.21 eV/atom
DOS at the Fermi energy ... 5.8 states/eV/cell

CIF file:
```
data_CaSiTc
_chemical_formula_sum 'Ca2 Si2 Tc2'
_space_group_name_H-M_alt 'I 4 m m'
_space_group_IT_number 107
_space_group_name_Hall 'I 4 -2'
_cell_length_a 3.272
_cell_length_b 3.272
_cell_length_c 10.327
_cell_angle_alpha 90.00
_cell_angle_beta 90.00
_cell_angle_gamma 90.00
loop_
_atom_site_label
_atom_site_fract_x
_atom_site_fract_y
_atom_site_fract_z
Ca1 0.000 0.000 0.000
Si1 0.000 0.000 0.715
Tc1 0.000 0.000 0.286
```